Record 1
Entry from Alexandria via LeMat-Bulk: a geometry-optimized BeFeRe2 structure (PBE).

abc: 3.634 3.634 17.144
angles: 90.00 90.00 90.00
Positions (direct):
Be 0.000 0.000 0.000
Be 0.000 0.500 0.250
Be 0.500 0.000 0.750
Be 0.500 0.500 0.500
Fe 0.000 0.000 0.500
Fe 0.000 0.500 0.750
Fe 0.500 0.000 0.250
Fe 0.500 0.500 0.000
Re 0.221 0.250 0.125
Re 0.250 0.721 0.375
Re 0.250 0.779 0.875
Re 0.279 0.250 0.625
Re 0.721 0.750 0.625
Re 0.750 0.221 0.875
Re 0.750 0.279 0.375
Re 0.779 0.750 0.125

Summary:
volume	226	Å³/cell
DOS(E_F)	4.47	states/eV/f.u.
DFT total energy	-0.63057	Ry/atom


Record 2
Entry from Alexandria via LeMat-Bulk: a geometry-optimized RbCa2HgRh structure (PBE).

abc: 5.800 5.800 6.055
angles: 90.00 90.00 90.00
Positions (direct):
Rb 0.000 0.000 0.000
Ca 0.000 0.500 0.500
Ca 0.500 0.000 0.500
Hg 0.000 0.000 0.500
Rh 0.500 0.500 0.000

Summary:
volume	204	Å³/cell
DOS(E_F)	7.36	states/eV/f.u.
DFT total energy	-0.13720	Ry/atom


no.,calculated formation energy (eV/atom)
1,0.692
2,0.658